Entry 1:
Density functional theory data (PBE) for a geometry-optimized Tl3RuSe structure.

Output
The crystal system is cubic. The calculated total energy is -14.17 eV/f.u. As for the formation energy without anion corrections: 109.74 kJ/mol of atoms.

a = 5.7205 Å, b = 5.7205 Å, c = 5.7205 Å
α = 90.00°, β = 90.00°, γ = 90.00°
Closest atoms and distances in Å follow each position.
Fractional coordinates of all 5 atoms:
Tl1 0.0000 0.0000 0.5000  2 Se 2.86
Tl2 0.0000 0.5000 0.0000  2 Se 2.86
Tl3 0.5000 0.0000 0.0000  2 Se 2.86
Ru1 0.5000 0.5000 0.5000  12 Tl 4.05
Se1 0.0000 0.0000 0.0000  6 Tl 2.86

***

Entry 2:
Density functional theory data (PBE) for a geometry-optimized U3Tl3RuSe8 structure.

Output
The crystal system is trigonal. The calculated total energy is -89.71 eV/f.u. As for the formation energy without anion corrections: -74.57 kJ/mol of atoms.

a = 9.3805 Å, b = 9.3805 Å, c = 9.3805 Å
α = 49.20°, β = 49.20°, γ = 49.20°
Closest atoms and distances in Å follow each position.
Fractional coordinates of all 15 atoms:
U1 0.0000 0.5000 0.5000  6 Se 2.84-2.86
U2 0.5000 0.0000 0.5000  6 Se 2.84-2.86
U3 0.5000 0.5000 0.0000  6 Se 2.84-2.86
Tl1 0.0000 0.0000 0.5000  6 Se 3.26-3.32
Tl2 0.0000 0.5000 0.0000  6 Se 3.26-3.32
Tl3 0.5000 0.0000 0.0000  6 Se 3.26-3.32
Ru1 0.0000 0.0000 0.0000  6 Se 2.63
Se1 0.2191 0.2191 0.7564  1 Ru 2.63, 2 U 2.84
Se2 0.2191 0.7564 0.2191  1 Ru 2.63, 2 U 2.84
Se3 0.2436 0.7809 0.7809  1 Ru 2.63, 2 U 2.84
Se4 0.2623 0.2623 0.2623  3 U 2.86
Se5 0.7377 0.7377 0.7377  3 U 2.86
Se6 0.7564 0.2191 0.2191  1 Ru 2.63, 2 U 2.84
Se7 0.7809 0.2436 0.7809  1 Ru 2.63, 2 U 2.84
Se8 0.7809 0.7809 0.2436  1 Ru 2.63, 2 U 2.84

***

Entry 3:
Density functional theory data (PBE) for a geometry-optimized U2Tl3RuSe6 structure.

Output
The crystal system is monoclinic. The calculated total energy is -67.80 eV/f.u. As for the formation energy without anion corrections: -63.86 kJ/mol of atoms.

a = 6.6384 Å, b = 6.6384 Å, c = 8.6722 Å
α = 97.69°, β = 97.69°, γ = 120.14°
Closest atoms and distances in Å follow each position.
Fractional coordinates of all 12 atoms:
U1 0.1628 0.8372 0.0000  6 Se 2.82-2.85
U2 0.8372 0.1628 0.0000  6 Se 2.82-2.85
Tl1 0.0000 0.0000 0.5000  6 Se 3.32-3.50
Tl2 0.3245 0.6755 0.5000  6 Se 3.31-3.42
Tl3 0.6755 0.3245 0.5000  6 Se 3.31-3.42
Ru1 0.5000 0.5000 0.0000  6 Se 2.60-2.62
Se1 0.1270 0.4353 0.8065  1 Ru 2.60, 2 U 2.82-2.84
Se2 0.2693 0.2693 0.2029  1 Ru 2.62, 2 U 2.85
Se3 0.4353 0.1270 0.8065  1 Ru 2.60, 2 U 2.82-2.84
Se4 0.5647 0.8730 0.1935  1 Ru 2.60, 2 U 2.82-2.84
Se5 0.7307 0.7307 0.7971  1 Ru 2.62, 2 U 2.85
Se6 0.8730 0.5647 0.1935  1 Ru 2.60, 2 U 2.82-2.84

***

Entry 4:
Density functional theory data (PBE) for a geometry-optimized YTl2RuSe structure.

Output
The crystal system is tetragonal. The calculated total energy is -21.77 eV/f.u. As for the formation energy without anion corrections: 42.21 kJ/mol of atoms.

a = 5.6267 Å, b = 5.6267 Å, c = 4.5120 Å
α = 90.00°, β = 90.00°, γ = 90.00°
Closest atoms and distances in Å follow each position.
Fractional coordinates of all 5 atoms:
Y1 0.0000 0.0000 0.0000  8 Tl 3.61, 4 Ru 3.98
Tl1 0.0000 0.5000 0.5000  2 Se 2.81
Tl2 0.5000 0.0000 0.5000  2 Se 2.81
Ru1 0.5000 0.5000 0.0000  2 Se 2.26
Se1 0.5000 0.5000 0.5000  2 Ru 2.26

***

- calculated total energy of number 2 (U3Tl3RuSe8)?
  -89.71 eV/f.u.

***

- Which of these has the highest formation energy without anion corrections?
  Tl3RuSe